[1]
## GeOs3Pb (PBE)

Data for a relaxed GeOs3Pb crystal.

a b c (Å): 4.6041 4.6041 4.6041
angles (deg): 90.00 90.00 90.00
Fractional coordinates of all 5 atoms:
1 Ge 0.0000 0.0000 0.0000
2 Os 0.0000 0.0000 0.5000
3 Os 0.0000 0.5000 0.0000
4 Os 0.5000 0.0000 0.0000
5 Pb 0.5000 0.5000 0.5000

## Properties
VASP energy	-6.77	eV per atom
relative energy among the computed polymorphs	0.000	eV per atom

***

[2]
## GeOsPb (PBE)

Data for a relaxed GeOsPb crystal.

a b c (Å): 3.2021 4.7551 9.1660
angles (deg): 86.85 84.10 71.39
Fractional coordinates of all 6 atoms:
1 Ge 0.1581 0.2302 0.4015
2 Ge 0.8419 0.7698 0.5985
3 Os 0.4488 0.6767 0.3733
4 Os 0.5512 0.3233 0.6267
5 Pb 0.0020 0.2576 0.8790
6 Pb 0.9980 0.7424 0.1210

## Properties
VASP energy	-6.26	eV per atom

***

[3]
## GeOsPb (PBE)

Data for a relaxed GeOsPb crystal.

a b c (Å): 3.0510 4.5873 10.3890
angles (deg): 85.05 89.87 70.61
Fractional coordinates of all 6 atoms:
1 Ge 0.0000 0.0000 0.0000
2 Ge 0.3027 0.3989 0.7427
3 Os 0.0256 0.9525 0.7523
4 Os 0.7113 0.5782 0.9288
5 Pb 0.5499 0.9085 0.5073
6 Pb 0.7627 0.4744 0.2191

## Properties
VASP energy	-6.27	eV per atom

***

| no. | DOS(E_F) (states/eV per cell) | size of the total moment (Bohr magnetons per cell) | DFT formation energy (eV/atom) |
| --- | --- | --- | --- |
| 1 | 10.75 | 0.6 | 1.63 |
| 2 | 1.82 | 0.0 | 0.26 |
| 3 | 1.72 | 0.0 | 0.25 |